1.
## PaAu2Br8 (GGA-PBE)

Data for a relaxed PaAu2Br8 crystal.

Calculated values
The calculation puts the energy relative to the elements, uncorrected at -0.7342 eV per atom. As for the magnetization: 0.00 μB per cell. As for the distance to the lowest polymorph of the same formula: 3.0 meV per atom.

CIF file:
```
data_PaAu2Br8
_cell_length_a 15.781
_cell_length_b 7.621
_cell_length_c 7.898
_cell_angle_alpha 90.00
_cell_angle_beta 113.26
_cell_angle_gamma 90.00
_space_group_name_H-M_alt 'C 1 2/m 1'
_space_group_IT_number 12
loop_
_space_group_symop_operation_xyz
'x,y,z'
'-x,-y,-z'
'-x,y,-z'
'x,-y,z'
'x+1/2,y+1/2,z'
'-x+1/2,-y+1/2,-z'
'-x+1/2,y+1/2,-z'
'x+1/2,-y+1/2,z'
loop_
_atom_site_label
_atom_site_type_symbol
_atom_site_fract_x
_atom_site_fract_y
_atom_site_fract_z
Pa1 Pa 0.000 0.000 0.000
Au1 Au 0.238 0.000 0.038
Br1 Br 0.098 0.000 0.757
Br2 Br 0.107 0.247 0.224
Br3 Br 0.117 0.500 0.704
```

=====

2.
## PbAuBr6 (GGA-PBE)

Data for a relaxed PbAuBr6 crystal.

Calculated values
The calculation puts the energy relative to the elements, uncorrected at -0.3387 eV per atom. As for the magnetization: 0.00 μB per cell. As for the distance to the lowest polymorph of the same formula: 0.0 meV per atom.

CIF file:
```
data_PbAuBr6
_cell_length_a 6.125
_cell_length_b 7.347
_cell_length_c 8.118
_cell_angle_alpha 77.34
_cell_angle_beta 70.16
_cell_angle_gamma 84.42
_space_group_name_H-M_alt 'P -1'
_space_group_IT_number 2
loop_
_space_group_symop_operation_xyz
'x,y,z'
'-x,-y,-z'
loop_
_atom_site_label
_atom_site_type_symbol
_atom_site_fract_x
_atom_site_fract_y
_atom_site_fract_z
Pb1 Pb 0.000 0.000 0.000
Au1 Au 0.500 0.500 0.000
Br1 Br 0.157 0.295 0.149
Br2 Br 0.292 0.725 0.191
Br3 Br 0.312 0.996 0.657
```

=====

3.
## Pb2AuBr6 (GGA-PBE)

Data for a relaxed Pb2AuBr6 crystal.

Calculated values
The calculation puts the energy relative to the elements, uncorrected at -0.6018 eV per atom. As for the magnetization: 2.10 μB per cell. As for the distance to the lowest polymorph of the same formula: 0.0 meV per atom.

CIF file:
```
data_Pb2AuBr6
_cell_length_a 7.344
_cell_length_b 7.890
_cell_length_c 12.226
_cell_angle_alpha 90.00
_cell_angle_beta 116.45
_cell_angle_gamma 90.00
_space_group_name_H-M_alt 'P 1 21/c 1'
_space_group_IT_number 14
loop_
_space_group_symop_operation_xyz
'x,y,z'
'-x,-y,-z'
'-x,y+1/2,-z+1/2'
'x,-y+1/2,z+1/2'
loop_
_atom_site_label
_atom_site_type_symbol
_atom_site_fract_x
_atom_site_fract_y
_atom_site_fract_z
Pb1 Pb 0.155 0.120 0.218
Au1 Au 0.500 0.000 0.000
Br1 Br 0.155 0.159 0.951
Br2 Br 0.193 0.647 0.900
Br3 Br 0.456 0.069 0.784
```

=====

4.
## Pb2AuBr (GGA-PBE)

Data for a relaxed Pb2AuBr crystal.

Calculated values
The calculation puts the energy relative to the elements, uncorrected at -0.1785 eV per atom. As for the magnetization: 0.00 μB per cell. As for the distance to the lowest polymorph of the same formula: 119.5 meV per atom.

CIF file:
```
data_Pb2AuBr
_cell_length_a 3.629
_cell_length_b 6.082
_cell_length_c 5.123
_cell_angle_alpha 90.00
_cell_angle_beta 90.02
_cell_angle_gamma 90.00
_space_group_name_H-M_alt 'P 1 m 1'
_space_group_IT_number 6
loop_
_space_group_symop_operation_xyz
'x,y,z'
'x,-y,z'
loop_
_atom_site_label
_atom_site_type_symbol
_atom_site_fract_x
_atom_site_fract_y
_atom_site_fract_z
Pb1 Pb 0.000 0.000 0.000
Pb2 Pb 0.495 0.500 0.499
Au1 Au 0.499 0.000 0.500
Br1 Br 0.994 0.500 0.999
```

=====

5.
## Pb2AuBr (GGA-PBE)

Data for a relaxed Pb2AuBr crystal.

Calculated values
The calculation puts the energy relative to the elements, uncorrected at -0.1404 eV per atom. As for the magnetization: 0.00 μB per cell. As for the distance to the lowest polymorph of the same formula: 157.6 meV per atom.

CIF file:
```
data_Pb2AuBr
_cell_length_a 4.096
_cell_length_b 4.096
_cell_length_c 8.002
_cell_angle_alpha 90.00
_cell_angle_beta 90.00
_cell_angle_gamma 90.00
_space_group_name_H-M_alt 'P 4 m m'
_space_group_IT_number 99
loop_
_space_group_symop_operation_xyz
'x,y,z'
'-y,x,z'
'-x,-y,z'
'y,-x,z'
'-x,y,z'
'y,x,z'
'x,-y,z'
'-y,-x,z'
loop_
_atom_site_label
_atom_site_type_symbol
_atom_site_fract_x
_atom_site_fract_y
_atom_site_fract_z
Pb1 Pb 0.000 0.000 0.000
Pb2 Pb 0.500 0.500 0.406
Au1 Au 0.000 0.000 0.350
Br1 Br 0.500 0.500 0.820
```

=====

6.
## Pb2AuBr (GGA-PBE)

Data for a relaxed Pb2AuBr crystal.

Calculated values
The calculation puts the energy relative to the elements, uncorrected at -0.0837 eV per atom. As for the magnetization: 0.00 μB per cell. As for the distance to the lowest polymorph of the same formula: 214.3 meV per atom.

CIF file:
```
data_Pb2AuBr
_cell_length_a 4.111
_cell_length_b 4.600
_cell_length_c 6.053
_cell_angle_alpha 90.00
_cell_angle_beta 90.00
_cell_angle_gamma 90.00
_space_group_name_H-M_alt 'P m m m'
_space_group_IT_number 47
loop_
_space_group_symop_operation_xyz
'x,y,z'
'-x,-y,-z'
'-x,-y,z'
'x,y,-z'
'x,-y,-z'
'-x,y,z'
'-x,y,-z'
'x,-y,z'
loop_
_atom_site_label
_atom_site_type_symbol
_atom_site_fract_x
_atom_site_fract_y
_atom_site_fract_z
Pb1 Pb 0.000 0.000 0.000
Pb2 Pb 0.500 0.000 0.500
Au1 Au 0.000 0.500 0.500
Br1 Br 0.500 0.500 0.000
```

=====

7.
## PbAuBr6 (GGA-PBE)

Data for a relaxed PbAuBr6 crystal.

Calculated values
The calculation puts the energy relative to the elements, uncorrected at -0.2956 eV per atom. As for the magnetization: 0.00 μB per cell. As for the distance to the lowest polymorph of the same formula: 43.1 meV per atom.

CIF file:
```
data_PbAuBr6
_cell_length_a 14.547
_cell_length_b 7.742
_cell_length_c 5.801
_cell_angle_alpha 90.00
_cell_angle_beta 94.97
_cell_angle_gamma 90.00
_space_group_name_H-M_alt 'C 1 2/m 1'
_space_group_IT_number 12
loop_
_space_group_symop_operation_xyz
'x,y,z'
'-x,-y,-z'
'-x,y,-z'
'x,-y,z'
'x+1/2,y+1/2,z'
'-x+1/2,-y+1/2,-z'
'-x+1/2,y+1/2,-z'
'x+1/2,-y+1/2,z'
loop_
_atom_site_label
_atom_site_type_symbol
_atom_site_fract_x
_atom_site_fract_y
_atom_site_fract_z
Pb1 Pb 0.000 0.000 0.000
Au1 Au 0.000 0.500 0.500
Br1 Br 0.092 0.277 0.727
Br2 Br 0.183 0.000 0.174
```

=====

8.
## Pb2AuBr (GGA-PBE)

Data for a relaxed Pb2AuBr crystal.

Calculated values
The calculation puts the energy relative to the elements, uncorrected at -0.0376 eV per atom. As for the magnetization: 0.00 μB per cell. As for the distance to the lowest polymorph of the same formula: 260.4 meV per atom.

CIF file:
```
data_Pb2AuBr
_cell_length_a 3.804
_cell_length_b 6.268
_cell_length_c 9.605
_cell_angle_alpha 90.00
_cell_angle_beta 90.00
_cell_angle_gamma 90.00
_space_group_name_H-M_alt 'C m m 2'
_space_group_IT_number 35
loop_
_space_group_symop_operation_xyz
'x,y,z'
'-x,-y,z'
'-x,y,z'
'x,-y,z'
'x+1/2,y+1/2,z'
'-x+1/2,-y+1/2,z'
'-x+1/2,y+1/2,z'
'x+1/2,-y+1/2,z'
loop_
_atom_site_label
_atom_site_type_symbol
_atom_site_fract_x
_atom_site_fract_y
_atom_site_fract_z
Pb1 Pb 0.000 0.000 0.000
Pb2 Pb 0.000 0.500 0.309
Au1 Au 0.000 0.000 0.524
Br1 Br 0.000 0.500 0.742
```